1.
A relaxed LiErVCl6 crystal, computed with PBE.

ΔE_f (raw)	-1774	meV/atom
calculated density	3.4	Mg/m³

Cell and atoms, written as POSCAR:
```
LiErVCl6
1.0
6.405 0.000 0.000
-3.202 5.547 0.000
0.000 0.000 11.991
Li Er V Cl
2 2 2 12
Direct
0.000 0.000 0.000 Li
0.000 0.000 0.500 Li
0.333 0.667 0.250 Er
0.667 0.333 0.750 Er
0.333 0.667 0.750 V
0.667 0.333 0.250 V
0.017 0.351 0.629 Cl
0.017 0.666 0.871 Cl
0.334 0.351 0.871 Cl
0.334 0.983 0.629 Cl
0.351 0.017 0.129 Cl
0.351 0.334 0.371 Cl
0.649 0.666 0.629 Cl
0.649 0.983 0.871 Cl
0.666 0.017 0.371 Cl
0.666 0.649 0.129 Cl
0.983 0.334 0.129 Cl
0.983 0.649 0.371 Cl
```

2.
A relaxed ErLuCl crystal, computed with PBE.

ΔE_f (raw)	-877	meV/atom
calculated density	8.1	Mg/m³

Cell and atoms, written as POSCAR:
```
ErLuCl
1.0
3.597 0.000 0.000
-1.798 3.115 0.000
0.000 0.000 6.891
Er Lu Cl
1 1 1
Direct
0.000 0.000 0.000 Er
0.333 0.667 0.626 Lu
0.667 0.333 0.314 Cl
```

3.
A relaxed Er2MgCl crystal, computed with PBE.

ΔE_f (raw)	-347	meV/atom
calculated density	6.1	Mg/m³

Cell and atoms, written as POSCAR:
```
Er2MgCl
1.0
1.681 0.970 10.977
-1.681 0.970 10.977
0.000 -1.941 10.977
Er Mg Cl
2 1 1
Direct
0.099 0.099 0.099 Er
0.901 0.901 0.901 Er
0.000 0.000 0.000 Mg
0.500 0.500 0.500 Cl
```

4.
A relaxed ErMgCl6 crystal, computed with PBE.

ΔE_f (raw)	-1659	meV/atom
calculated density	3.1	Mg/m³

Cell and atoms, written as POSCAR:
```
ErMgCl6
1.0
6.510 0.000 0.000
3.237 5.672 0.000
2.782 2.129 5.832
Er Mg Cl
1 1 6
Direct
0.000 0.000 0.000 Er
0.500 0.500 0.500 Mg
0.116 0.395 0.710 Cl
0.262 0.911 0.256 Cl
0.387 0.715 0.779 Cl
0.613 0.285 0.221 Cl
0.738 0.089 0.744 Cl
0.884 0.605 0.290 Cl
```

5.
A relaxed NaErMg2Cl8 crystal, computed with PBE.

ΔE_f (raw)	-1950	meV/atom
calculated density	2.9	Mg/m³

Cell and atoms, written as POSCAR:
```
NaErMg2Cl8
1.0
6.172 0.000 0.000
0.000 7.804 0.000
-0.032 0.000 6.229
Na Er Mg Cl
1 1 2 8
Direct
0.000 0.000 0.000 Na
0.000 0.500 0.000 Er
0.500 0.236 0.500 Mg
0.500 0.764 0.500 Mg
0.218 0.263 0.201 Cl
0.218 0.737 0.201 Cl
0.299 0.500 0.686 Cl
0.306 0.000 0.679 Cl
0.694 0.000 0.321 Cl
0.701 0.500 0.314 Cl
0.782 0.263 0.799 Cl
0.782 0.737 0.799 Cl
```

6.
A relaxed NaErMgCl6 crystal, computed with PBE.

ΔE_f (raw)	-2042	meV/atom
calculated density	3.0	Mg/m³

Cell and atoms, written as POSCAR:
```
NaErMgCl6
1.0
6.650 0.000 0.000
-3.325 5.759 0.000
0.000 0.000 12.530
Na Er Mg Cl
2 2 2 12
Direct
0.000 0.000 0.000 Na
0.000 0.000 0.500 Na
0.333 0.667 0.250 Er
0.667 0.333 0.750 Er
0.333 0.667 0.750 Mg
0.667 0.333 0.250 Mg
0.011 0.364 0.635 Cl
0.011 0.647 0.865 Cl
0.353 0.364 0.865 Cl
0.353 0.989 0.635 Cl
0.364 0.011 0.135 Cl
0.364 0.353 0.365 Cl
0.636 0.647 0.635 Cl
0.636 0.989 0.865 Cl
0.647 0.011 0.365 Cl
0.647 0.636 0.135 Cl
0.989 0.353 0.135 Cl
0.989 0.636 0.365 Cl
```

7.
A relaxed ErMg2TlCl8 crystal, computed with PBE.

ΔE_f (raw)	-1806	meV/atom
calculated density	3.3	Mg/m³

Cell and atoms, written as POSCAR:
```
ErMg2TlCl8
1.0
6.469 0.000 0.000
1.298 6.341 0.000
1.732 1.397 8.632
Er Mg Tl Cl
1 2 1 8
Direct
0.000 0.000 0.000 Er
0.451 0.452 0.714 Mg
0.549 0.548 0.286 Mg
0.000 0.000 0.500 Tl
0.204 0.753 0.218 Cl
0.252 0.800 0.781 Cl
0.263 0.269 0.954 Cl
0.331 0.336 0.511 Cl
0.669 0.664 0.489 Cl
0.737 0.731 0.046 Cl
0.748 0.200 0.219 Cl
0.796 0.247 0.782 Cl
```

8.
A relaxed ErMnTlCl6 crystal, computed with PBE.

ΔE_f (raw)	-1365	meV/atom
calculated density	4.0	Mg/m³

Cell and atoms, written as POSCAR:
```
ErMnTlCl6
1.0
6.441 0.000 0.000
-3.221 5.578 0.000
0.000 0.000 14.630
Er Mn Tl Cl
2 2 2 12
Direct
0.333 0.667 0.250 Er
0.667 0.333 0.750 Er
0.333 0.667 0.750 Mn
0.667 0.333 0.250 Mn
0.000 0.000 0.000 Tl
0.000 0.000 0.500 Tl
0.030 0.380 0.653 Cl
0.030 0.650 0.847 Cl
0.350 0.380 0.847 Cl
0.350 0.970 0.653 Cl
0.380 0.030 0.153 Cl
0.380 0.350 0.347 Cl
0.620 0.650 0.653 Cl
0.620 0.970 0.847 Cl
0.650 0.030 0.347 Cl
0.650 0.620 0.153 Cl
0.970 0.350 0.153 Cl
0.970 0.620 0.347 Cl
```